{"formula": "Mg3Ni20P6", "functional": "PBE-GGA", "state": "optimized geometry", "formation_energy_ev_per_fu": -14.0, "total_energy_ev_per_atom": -5.754, "lattice_angstrom": [[-3.967, -1.238, -6.668], [0.945, -6.731, -3.941], [-5.808, -5.289, -0.192]], "species": ["Ni", "Ni", "Ni", "Ni", "Ni", "Ni", "P", "Ni", "Ni", "Mg", "Ni", "P", "Ni", "P", "Ni", "Ni", "Ni", "Ni", "Mg", "P", "Ni", "P", "Ni", "Ni", "Mg", "Ni", "P", "Ni", "Ni"], "fractional_positions": [[0.000, 0.651, 0.000], [0.847, 0.384, 0.384], [0.616, 0.153, 0.616], [0.384, 0.384, 0.384], [0.000, 0.349, 0.651], [0.616, 0.616, 0.153], [0.736, 0.264, 0.264], [0.000, 0.651, 0.349], [0.616, 0.616, 0.616], [0.000, 0.000, 0.000], [0.000, 0.349, 0.000], [0.264, 0.736, 0.264], [0.651, 0.000, 0.000], [0.264, 0.736, 0.736], [0.384, 0.384, 0.847], [0.153, 0.616, 0.616], [0.349, 0.000, 0.000], [0.384, 0.847, 0.384], [0.750, 0.750, 0.750], [0.264, 0.264, 0.736], [0.349, 0.651, 0.000], [0.736, 0.264, 0.736], [0.651, 0.349, 0.000], [0.349, 0.000, 0.651], [0.250, 0.250, 0.250], [0.000, 0.000, 0.349], [0.736, 0.736, 0.264], [0.000, 0.000, 0.651], [0.651, 0.000, 0.349]]}